(1)
Computed, not measured: LaY7Tl4 after structural relaxation at the PBE level of DFT.

Calculated values
SG = P-1 (2)
ΔE_f = -2.26 eV per formula unit

a b c (Å): 6.3982 8.5672 8.5913
angles (deg): 78.86 51.86 89.55
Each line ends with the local moment (μB).
Positions (direct):
La  0.0000  0.0000  0.0000  0.12
Y  0.7498  0.9395  0.5106  0.02
Y  0.2502  0.0605  0.4894  0.02
Y  0.0554  0.6256  0.2976  0.01
Y  0.9446  0.3744  0.7024  0.01
Y  0.3434  0.5760  0.8049  0.02
Y  0.5000  0.0000  0.0000  0.14
Y  0.6566  0.4240  0.1951  0.02
Tl  0.5393  0.2703  0.6248  0.00
Tl  0.4607  0.7297  0.3752  0.00
Tl  0.8411  0.7135  0.8077  0.00
Tl  0.1589  0.2865  0.1923  0.00

=====

(2)
Computed, not measured: Tm5AgTe5 after structural relaxation at the PBE level of DFT.

Calculated values
SG = C2/m (12)

a b c (Å): 6.0897 7.4369 8.5240
angles (deg): 107.00 90.00 114.17
Positions (direct):
Tm  0.8396  0.6793  0.1635
Tm  0.8400  0.6799  0.6732
Tm  0.5000  0.0000  0.0000
Tm  0.1600  0.3201  0.3268
Tm  0.1604  0.3207  0.8365
Ag  0.0000  0.0000  0.0000
Te  0.6736  0.3472  0.3361
Te  0.6656  0.3311  0.8280
Te  0.0000  0.0000  0.5000
Te  0.3344  0.6689  0.1720
Te  0.3264  0.6528  0.6639

=====

(3)
Computed, not measured: TiFe2Si after structural relaxation at the PBE level of DFT.

Calculated values
SG = I-42d (122)

a b c (Å): 6.5555 6.5555 5.2986
angles (deg): 51.79 51.79 90.00
Each line ends with the local moment (μB).
Positions (direct):
Si  0.5000  0.5000  0.0000  -0.01
Si  0.2500  0.7500  0.5000  -0.01
Fe  0.6003  0.1250  0.2500  1.93
Fe  0.1497  0.6250  0.2500  1.93
Fe  0.3750  0.3997  0.7500  1.94
Fe  0.8750  0.8503  0.7500  1.94
Ti  0.0000  0.0000  0.0000  -0.33
Ti  0.7500  0.2500  0.5000  -0.33

=====

(4)
Computed, not measured: Mn2InTe after structural relaxation at the PBE level of DFT.

Calculated values
SG = P4mm (99)

a b c (Å): 3.3687 3.3687 7.3782
angles (deg): 90.00 90.00 90.00
Each line ends with the local moment (μB).
Positions (direct):
In  0.5000  0.5000  0.8326  -0.08
Mn  0.0000  0.0000  0.0351  3.27
Mn  0.5000  0.5000  0.2281  2.96
Te  0.0000  0.0000  0.4042  -0.13

=====

(5)
Computed, not measured: Bi8Pd2Pt after structural relaxation at the PBE level of DFT.

Calculated values
SG = C2/m (12)
ΔE_f = 0.01 eV per formula unit

a b c (Å): 5.6409 7.8192 7.8192
angles (deg): 81.42 91.63 91.63
Positions (direct):
Bi  0.7180  0.1382  0.7043
Bi  0.2820  0.2957  0.8618
Bi  0.7389  0.1980  0.1980
Bi  0.2611  0.8020  0.8020
Bi  0.7180  0.7043  0.1382
Bi  0.2820  0.8618  0.2957
Bi  0.2454  0.4434  0.4434
Bi  0.7546  0.5566  0.5566
Pd  0.2424  0.2189  0.2189
Pd  0.7576  0.7811  0.7811
Pt  0.0000  0.0000  0.0000

=====

(6)
Computed, not measured: Nb2TlInAg after structural relaxation at the PBE level of DFT.

Calculated values
SG = P4/mmm (123)
ΔE_f = 6.73 eV per formula unit

a b c (Å): 5.0886 4.9571 5.0886
angles (deg): 90.00 90.00 90.00
Positions (direct):
Tl  0.5000  0.5000  0.5000
Nb  0.0000  0.0000  0.5000
Nb  0.5000  0.0000  0.0000
Ag  0.0000  0.0000  0.0000
In  0.0000  0.5000  0.0000

=====

Calculated final energy, -61.90, -52.63, -59.18, -23.49, -47.46, -21.37 eV per cell (same order as the records).